Below is crystalline Lu3Mo at its relaxed geometry, with properties calculated at the PBE-GGA level.

Energy of formation from the pure elements: 1.16 eV/f.u.
Offset from the most stable computed form: 0.059 eV/atom
Total magnetic moment: 0.00 Bohr magnetons per cell
Space group: Pmm2
Raw total energy: -5.807 eV/atom

a b c (Å): 5.1024 3.2990 5.7534
angles (deg): 90.00 90.00 90.00
With the nearest neighbours (Å) after each atom.
Atoms (fractional coordinates):
Mo  0.0000  0.0000  0.9891  10 Lu 3.08-3.34, 2 Mo 3.30
Lu  0.0000  0.5000  0.4943  8 Lu 3.20-3.30, 4 Mo 3.29-3.34
Lu  0.5000  0.5000  0.1595  8 Lu 3.16-3.47, 4 Mo 3.19
Lu  0.5000  0.0000  0.6904  2 Mo 3.08, 8 Lu 3.16-3.30